First-principles (meta-GGA SCAN) data for Co2Rh at its PBEsol-relaxed geometry, as listed in Alexandria via LeMat-Bulk.

Unit cell a=4.382 b=4.382 c=4.412 alpha=99.99 beta=99.99 gamma=119.48
Fractional coordinates of all 6 atoms:
Co 0.247 0.753 0.250
Rh 0.588 0.412 0.250
Co 0.919 0.081 0.250
Co 0.753 0.247 0.750
Co 0.081 0.919 0.750
Rh 0.412 0.588 0.750

## Properties
Space-group type: C2/c, No. 15
Total magnetic moment: 9.56 Bohr magnetons per cell
Theoretical density: 10.59 g/cm³
D(E_F): 4.72 states/eV per cell
Energy of formation: 31 meV/atom

First-principles (meta-GGA SCAN) data for Co2Rh at its PBEsol-relaxed geometry, as listed in Alexandria via LeMat-Bulk.

Unit cell a=4.626 b=4.626 c=4.626 alpha=60.00 beta=60.00 gamma=60.00
Fractional coordinates of all 6 atoms:
Co 0.125 0.125 0.625
Rh 0.750 0.750 0.750
Co 0.625 0.125 0.125
Co 0.125 0.125 0.125
Rh 0.500 0.500 0.500
Co 0.125 0.625 0.125

## Properties
Space-group type: Fd-3m, No. 227
Total magnetic moment: 9.60 Bohr magnetons per cell
Theoretical density: 10.47 g/cm³
D(E_F): 3.60 states/eV per cell
Energy of formation: -21 meV/atom

First-principles (meta-GGA SCAN) data for Co2Rh3 at its PBEsol-relaxed geometry, as listed in Alexandria via LeMat-Bulk.

Unit cell a=2.618 b=2.618 c=10.555 alpha=82.88 beta=82.88 gamma=60.00
Fractional coordinates of all 5 atoms:
Co 0.399 0.399 0.802
Rh 0.798 0.798 0.607
Rh 0.202 0.202 0.393
Co 0.601 0.601 0.198
Rh 0.000 0.000 0.000

## Properties
Space-group type: R-3m, No. 166
Total magnetic moment: 5.56 Bohr magnetons per cell
Theoretical density: 11.43 g/cm³
Energy relative to the lowest polymorph listed for this composition: 11.7 meV/atom
D(E_F): 5.38 states/eV per cell
Energy of formation: 63 meV/atom

First-principles (meta-GGA SCAN) data for Co2Rh at its PBEsol-relaxed geometry, as listed in Alexandria via LeMat-Bulk.

Unit cell a=2.570 b=4.371 c=6.184 alpha=90.81 beta=90.00 gamma=90.00
Fractional coordinates of all 6 atoms:
Co 0.750 0.419 0.330
Rh 0.750 0.087 0.675
Rh 0.250 0.913 0.325
Co 0.750 0.735 0.994
Co 0.250 0.581 0.670
Co 0.250 0.265 0.006

## Properties
Space-group type: P2_1/m, No. 11
Total magnetic moment: 9.24 Bohr magnetons per cell
Theoretical density: 10.56 g/cm³
D(E_F): 5.68 states/eV per cell
Energy of formation: 52 meV/atom

First-principles (meta-GGA SCAN) data for Co4Rh at its PBEsol-relaxed geometry, as listed in Alexandria via LeMat-Bulk.

Unit cell a=2.653 b=4.783 c=4.783 alpha=85.59 beta=73.90 gamma=73.90
Fractional coordinates of all 5 atoms:
Co 0.878 0.447 0.797
Rh 0.500 0.000 0.000
Co 0.675 0.203 0.447
Co 0.325 0.797 0.553
Co 0.122 0.553 0.203

## Properties
Space-group type: I4/m, No. 87
Total magnetic moment: 8.58 Bohr magnetons per cell
Theoretical density: 10.04 g/cm³
Energy relative to the lowest polymorph listed for this composition: 10.9 meV/atom
D(E_F): 3.97 states/eV per cell
Energy of formation: 23 meV/atom

First-principles (meta-GGA SCAN) data for Co3Rh at its PBEsol-relaxed geometry, as listed in Alexandria via LeMat-Bulk.

Unit cell a=4.410 b=5.037 c=8.152 alpha=90.00 beta=90.00 gamma=90.00
Fractional coordinates of all 16 atoms:
Co 0.581 0.374 0.750
Co 0.259 0.371 0.504
Co 0.419 0.626 0.250
Co 0.759 0.129 0.996
Co 0.741 0.629 0.004
Rh 0.075 0.619 0.750
Co 0.919 0.874 0.250
Rh 0.925 0.381 0.250
Rh 0.575 0.881 0.750
Co 0.081 0.126 0.750
Rh 0.425 0.119 0.250
Co 0.241 0.871 0.496
Co 0.759 0.129 0.504
Co 0.259 0.371 0.996
Co 0.741 0.629 0.496
Co 0.241 0.871 0.004

## Properties
Space-group type: Pnma, No. 62
Total magnetic moment: 25.38 Bohr magnetons per cell
Theoretical density: 10.26 g/cm³
D(E_F): 11.89 states/eV per cell
Energy of formation: 37 meV/atom

First-principles (meta-GGA SCAN) data for Co3Rh2 at its PBEsol-relaxed geometry, as listed in Alexandria via LeMat-Bulk.

Unit cell a=2.586 b=3.518 c=6.799 alpha=104.99 beta=100.96 gamma=90.00
Fractional coordinates of all 5 atoms:
Co 0.000 0.000 0.000
Co 0.797 0.797 0.594
Rh 0.602 0.602 0.205
Co 0.203 0.203 0.406
Rh 0.398 0.398 0.795

## Properties
Space-group type: Immm, No. 71
Total magnetic moment: 7.58 Bohr magnetons per cell
Theoretical density: 10.85 g/cm³
Energy relative to the lowest polymorph listed for this composition: 0.0 meV/atom
D(E_F): 3.71 states/eV per cell
Energy of formation: 35 meV/atom

First-principles (meta-GGA SCAN) data for CoRh3 at its PBEsol-relaxed geometry, as listed in Alexandria via LeMat-Bulk.

Unit cell a=4.239 b=4.569 c=5.293 alpha=90.00 beta=90.00 gamma=90.00
Fractional coordinates of all 8 atoms:
Rh 0.000 0.169 0.251
Rh 0.500 0.831 0.249
Rh 0.000 0.169 0.749
Co 0.500 0.328 0.500
Rh 0.000 0.660 0.500
Rh 0.500 0.340 0.000
Rh 0.500 0.831 0.751
Co 0.000 0.672 0.000

## Properties
Space-group type: Pmmn, No. 59
Total magnetic moment: 7.03 Bohr magnetons per cell
Theoretical density: 11.91 g/cm³
D(E_F): 7.65 states/eV per cell
Energy of formation: 29 meV/atom